{
  "formula": "Cs2V2HgO6",
  "functional": "GGA+U",
  "state": "relaxed",
  "e_tot_ev_per_cell": -62.9,
  "mass_density_kg_m3": 5158,
  "dos_at_fermi_per_ev_cell": 0.00,
  "lattice_angstrom": [[3.182, 1.837, 6.096], [-3.182, 1.837, 6.096], [0.000, -3.675, 6.096]],
  "species": ["Cs", "Cs", "V", "V", "Hg", "O", "O", "O", "O", "O", "O"],
  "frac_coords": [[0.222, 0.222, 0.222], [0.778, 0.778, 0.778], [0.426, 0.426, 0.426], [0.574, 0.574, 0.574], [0.000, 0.000, 0.000], [0.256, 0.256, 0.717], [0.256, 0.717, 0.256], [0.283, 0.744, 0.744], [0.717, 0.256, 0.256], [0.744, 0.283, 0.744], [0.744, 0.744, 0.283]]
}